The following is a GGA-PBEsol calculation of CaTaOs2 after structural relaxation, from the Alexandria database.

The structure in POSCAR format:
```
CaTaOs2
1.0
3.1081 0.0000 0.0000
0.0000 4.4152 0.0000
0.0000 0.0000 4.7995
Ca Ta Os
1 1 2
Direct
0.0000 0.0000 0.0000
0.5000 0.0000 0.5000
0.0000 0.5000 0.5000
0.5000 0.5000 0.0000
```

Summary:
D(E_F): 3.191 states/eV/cell
energy relative to the lowest polymorph listed for this composition: 572.5 meV/atom
SG: Pmmm
energy of formation from the pure elements: 0.624 eV per atom

The following is a GGA-PBEsol calculation of ZrAlCu2 after structural relaxation, from the Alexandria database.

The structure in POSCAR format:
```
ZrAlCu2
1.0
6.9582 0.0000 0.0000
0.0000 4.4022 0.0000
0.0000 0.0000 7.7749
Zr Al Cu
4 4 8
Direct
0.1328 0.2500 0.1973
0.3672 0.7500 0.6973
0.6328 0.2500 0.3027
0.8672 0.7500 0.8027
0.1282 0.2500 0.8168
0.3718 0.7500 0.3168
0.6282 0.2500 0.6832
0.8718 0.7500 0.1832
0.0589 0.7500 0.4568
0.2051 0.7500 0.0075
0.2949 0.2500 0.5075
0.4411 0.2500 0.9568
0.5589 0.7500 0.0432
0.7051 0.7500 0.4925
0.7949 0.2500 0.9925
0.9411 0.2500 0.5432
```

Summary:
D(E_F): 10.734 states/eV/cell
SG: Pnma
energy of formation from the pure elements: -0.281 eV per atom

The following is a GGA-PBEsol calculation of BaAl2Ag2 after structural relaxation, from the Alexandria database.

The structure in POSCAR format:
```
BaAl2Ag2
1.0
4.4296 0.0000 0.0000
0.0000 4.4296 0.0000
0.0000 0.0000 11.7730
Ba Al Ag
2 4 4
Direct
0.0000 0.0000 0.0000
0.5000 0.5000 0.5000
0.0000 0.5000 0.2500
0.0000 0.5000 0.7500
0.5000 0.0000 0.2500
0.5000 0.0000 0.7500
0.0000 0.0000 0.3726
0.0000 0.0000 0.6274
0.5000 0.5000 0.1274
0.5000 0.5000 0.8726
```

Summary:
D(E_F): 6.551 states/eV/cell
SG: I4/mmm
energy of formation from the pure elements: -0.211 eV per atom

The following is a GGA-PBEsol calculation of MgBeHg2 after structural relaxation, from the Alexandria database.

The structure in POSCAR format:
```
MgBeHg2
1.0
4.4500 0.0000 0.0000
0.0000 4.4500 0.0000
0.0000 0.0000 3.5548
Mg Be Hg
1 1 2
Direct
0.0000 0.0000 0.0000
0.5000 0.5000 0.0000
0.0000 0.5000 0.5000
0.5000 0.0000 0.5000
```

Summary:
D(E_F): 1.290 states/eV/cell
energy relative to the lowest polymorph listed for this composition: 46.4 meV/atom
SG: P4/mmm
energy of formation from the pure elements: 0.136 eV per atom

The following is a GGA-PBEsol calculation of Mg3Hg after structural relaxation, from the Alexandria database.

The structure in POSCAR format:
```
Mg3Hg
1.0
3.2582 0.0000 0.0000
-1.6291 2.8217 0.0000
0.0000 0.0000 9.5657
Mg Hg
3 1
Direct
0.0000 0.0000 0.0000
0.6667 0.3333 0.2644
0.6667 0.3333 0.7356
0.0000 0.0000 0.5000
```

Summary:
D(E_F): 1.528 states/eV/cell
SG: P-6m2
energy of formation from the pure elements: -0.108 eV per atom

The following is a GGA-PBEsol calculation of Rb3ZrTl after structural relaxation, from the Alexandria database.

The structure in POSCAR format:
```
Rb3ZrTl
1.0
6.6969 0.0000 0.0000
0.0000 6.6969 0.0000
0.0000 0.0000 6.6969
Rb Zr Tl
3 1 1
Direct
0.0000 0.0000 0.5000
0.0000 0.5000 0.0000
0.5000 0.0000 0.0000
0.5000 0.5000 0.5000
0.0000 0.0000 0.0000
```

Summary:
D(E_F): 12.409 states/eV/cell
SG: Pm-3m
energy of formation from the pure elements: 1.138 eV per atom